Record 1
! PrGeAu (meta-GGA SCAN, single point on PBEsol structure); values from VASP
! - SG = P6_3mc, No. 186
! - Fermi-level density of states (states/eV per atom) = 0.150
! - energy of formation from the pure elements (eV/f.u.) = -3.17
&SYSTEM
  ibrav = 0, nat = 6, ntyp = 3
/
ATOMIC_SPECIES
Pr 140.91 Pr.upf
Ge 72.64 Ge.upf
Au 196.97 Au.upf
ATOMIC_POSITIONS crystal
Pr 0.000 0.000 0.000
Pr 0.000 0.000 0.500
Ge 0.333 0.667 0.282
Ge 0.667 0.333 0.782
Au 0.333 0.667 0.729
Au 0.667 0.333 0.229
CELL_PARAMETERS angstrom
4.457 0.000 0.000
-2.229 3.860 0.000
0.000 0.000 7.748

=====

Record 2
! Rb3Ge4Au (meta-GGA SCAN, single point on PBEsol structure); values from VASP
! - SG = Pmmn, No. 59
! - energy of formation from the pure elements (eV/f.u.) = -2.77
&SYSTEM
  ibrav = 0, nat = 16, ntyp = 3
/
ATOMIC_SPECIES
Rb 85.47 Rb.upf
Ge 72.64 Ge.upf
Au 196.97 Au.upf
ATOMIC_POSITIONS crystal
Rb 0.250 0.014 0.165
Rb 0.250 0.250 0.568
Rb 0.250 0.486 0.165
Rb 0.750 0.514 0.835
Rb 0.750 0.750 0.432
Rb 0.750 0.986 0.835
Ge 0.049 0.750 0.942
Ge 0.250 0.639 0.670
Ge 0.250 0.861 0.670
Ge 0.451 0.750 0.942
Ge 0.549 0.250 0.058
Ge 0.750 0.139 0.330
Ge 0.750 0.361 0.330
Ge 0.951 0.250 0.058
Au 0.250 0.750 0.307
Au 0.750 0.250 0.693
CELL_PARAMETERS angstrom
6.793 0.000 0.000
0.000 12.414 0.000
0.000 0.000 6.087

=====

Record 3
! RbSn2GeAu (meta-GGA SCAN, single point on PBEsol structure); values from VASP
! - SG = P4/mmm, No. 123
! - Fermi-level density of states (states/eV per atom) = 0.663
! - energy of formation from the pure elements (eV/f.u.) = 1.31
&SYSTEM
  ibrav = 0, nat = 5, ntyp = 4
/
ATOMIC_SPECIES
Rb 85.47 Rb.upf
Sn 118.71 Sn.upf
Ge 72.64 Ge.upf
Au 196.97 Au.upf
ATOMIC_POSITIONS crystal
Rb 0.000 0.000 0.000
Sn 0.000 0.500 0.500
Sn 0.500 0.000 0.500
Ge 0.500 0.500 0.000
Au 0.500 0.500 0.500
CELL_PARAMETERS angstrom
5.634 0.000 0.000
0.000 5.634 0.000
0.000 0.000 4.891

=====

Record 4
! Re3GeAu (meta-GGA SCAN, single point on PBEsol structure); values from VASP
! - SG = Pm-3m, No. 221
! - Fermi-level density of states (states/eV per atom) = 0.939
! - energy of formation from the pure elements (eV/f.u.) = 9.65
&SYSTEM
  ibrav = 0, nat = 5, ntyp = 3
/
ATOMIC_SPECIES
Re 186.21 Re.upf
Ge 72.64 Ge.upf
Au 196.97 Au.upf
ATOMIC_POSITIONS crystal
Re 0.000 0.000 0.500
Re 0.000 0.500 0.000
Re 0.500 0.000 0.000
Ge 0.000 0.000 0.000
Au 0.500 0.500 0.500
CELL_PARAMETERS angstrom
4.474 0.000 0.000
0.000 4.474 0.000
0.000 0.000 4.474

=====

Record 5
! ScGe2RhAu (meta-GGA SCAN, single point on PBEsol structure); values from VASP
! - SG = P4/mmm, No. 123
! - Fermi-level density of states (states/eV per atom) = 0.818
! - energy of formation from the pure elements (eV/f.u.) = 5.35
&SYSTEM
  ibrav = 0, nat = 5, ntyp = 4
/
ATOMIC_SPECIES
Sc 44.96 Sc.upf
Ge 72.64 Ge.upf
Rh 102.91 Rh.upf
Au 196.97 Au.upf
ATOMIC_POSITIONS crystal
Sc 0.000 0.000 0.000
Ge 0.000 0.500 0.000
Ge 0.500 0.000 0.000
Rh 0.500 0.500 0.500
Au 0.000 0.000 0.500
CELL_PARAMETERS angstrom
4.845 0.000 0.000
0.000 4.845 0.000
0.000 0.000 4.822

=====

Record 6
! SrGeRh2Au (meta-GGA SCAN, single point on PBEsol structure); values from VASP
! - SG = P4/mmm, No. 123
! - Fermi-level density of states (states/eV per atom) = 0.664
! - energy of formation from the pure elements (eV/f.u.) = -1.14
&SYSTEM
  ibrav = 0, nat = 5, ntyp = 4
/
ATOMIC_SPECIES
Sr 87.62 Sr.upf
Ge 72.64 Ge.upf
Rh 102.91 Rh.upf
Au 196.97 Au.upf
ATOMIC_POSITIONS crystal
Sr 0.000 0.000 0.000
Ge 0.500 0.500 0.500
Rh 0.000 0.500 0.500
Rh 0.500 0.000 0.500
Au 0.500 0.500 0.000
CELL_PARAMETERS angstrom
4.620 0.000 0.000
0.000 4.620 0.000
0.000 0.000 4.821

=====

Record 7
! GeAuS3 (meta-GGA SCAN, single point on PBEsol structure); values from VASP
! - total DFT energy (no corrections) (eV per atom) = -22.76
! - SG = Pm-3m, No. 221
! - Fermi-level density of states (states/eV per atom) = 0.566
&SYSTEM
  ibrav = 0, nat = 5, ntyp = 3
/
ATOMIC_SPECIES
Ge 72.64 Ge.upf
Au 196.97 Au.upf
S 32.06 S.upf
ATOMIC_POSITIONS crystal
Ge 0.000 0.000 0.000
Au 0.500 0.500 0.500
S 0.000 0.500 0.500
S 0.500 0.000 0.500
S 0.500 0.500 0.000
CELL_PARAMETERS angstrom
4.743 0.000 0.000
0.000 4.743 0.000
0.000 0.000 4.743

=====

Record 8
! GeSb2Au2 (meta-GGA SCAN, single point on PBEsol structure); values from VASP
! - total DFT energy (no corrections) (eV per atom) = -46.21
! - SG = I4/mmm, No. 139
! - Fermi-level density of states (states/eV per atom) = 0.416
&SYSTEM
  ibrav = 0, nat = 5, ntyp = 3
/
ATOMIC_SPECIES
Ge 72.64 Ge.upf
Sb 121.76 Sb.upf
Au 196.97 Au.upf
ATOMIC_POSITIONS crystal
Ge 0.000 0.000 0.000
Sb 0.396 0.396 0.000
Sb 0.604 0.604 0.000
Au 0.250 0.750 0.500
Au 0.750 0.250 0.500
CELL_PARAMETERS angstrom
-1.911 1.911 7.620
1.911 -1.911 7.620
1.911 1.911 -7.620

=====

| no. | volume (A^3/atom) | mass density (g/cm³) | magnetic moment (μB per formula unit) |
| --- | --- | --- | --- |
| 1 | 22.22 | 10.23 | 0.0 |
| 2 | 32.08 | 4.81 | 0.0 |
| 3 | 31.05 | 6.34 | 0.0 |
| 4 | 17.91 | 15.36 | 0.0 |
| 5 | 22.64 | 7.19 | 1.2 |
| 6 | 20.58 | 9.09 | 0.0 |
| 7 | 21.34 | 5.69 | 0.0 |
| 8 | 22.27 | 10.59 | 0.0 |